# 1
Crystalline NdTmPd at its relaxed geometry. Source: Alexandria, functional PBE.

ΔH_f (0 K) ... -578 meV/atom
Symmetry ... P2_1/c (14)
Electronic total energy ... -5.389 eV per atom

Unit cell a=6.3491 b=8.6274 c=7.2270 alpha=125.15 beta=90.00 gamma=90.00
Closest atoms and distances in Å follow each position.
Atoms (fractional coordinates):
Nd 0.3669 0.1352 0.7752  4 Pd 3.04-3.23
Nd 0.6331 0.8648 0.2248  4 Pd 3.04-3.23
Nd 0.8669 0.3648 0.7248  4 Pd 3.04-3.23
Nd 0.1331 0.6352 0.2752  4 Pd 3.04-3.23
Tm 0.8430 0.2022 0.1279  2 Pd 2.76
Tm 0.6570 0.7022 0.6279  2 Pd 2.76
Tm 0.1570 0.7978 0.8721  2 Pd 2.76
Tm 0.3430 0.2978 0.3721  2 Pd 2.76
Pd 0.4059 0.5184 0.8349  2 Tm 2.76, 1 Pd 2.85, 2 Nd 3.04-3.09
Pd 0.5941 0.4816 0.1651  2 Tm 2.76, 1 Pd 2.85, 2 Nd 3.04-3.09
Pd 0.0941 0.0184 0.3349  2 Tm 2.76, 1 Pd 2.85, 2 Nd 3.04-3.09
Pd 0.9059 0.9816 0.6651  2 Tm 2.76, 1 Pd 2.85, 2 Nd 3.04-3.09

# 2
Crystalline Nd2TmPd9 at its relaxed geometry. Source: Alexandria, functional PBE.

ΔH_f (0 K) ... -810 meV/atom
Symmetry ... P4/mmm (123)
Electronic total energy ... -5.872 eV per atom

Unit cell a=4.1766 b=4.1766 c=12.4486 alpha=90.00 beta=90.00 gamma=90.00
Closest atoms and distances in Å follow each position.
Atoms (fractional coordinates):
Nd 0.0000 0.0000 0.3290  12 Pd 2.95-2.98
Nd 0.0000 0.0000 0.6710  12 Pd 2.95-2.98
Tm 0.0000 0.0000 0.0000  12 Pd 2.88-2.95
Pd 0.5000 0.5000 0.0000  8 Pd 2.88, 4 Tm 2.95
Pd 0.5000 0.5000 0.3311  4 Nd 2.95, 8 Pd 2.96-2.99
Pd 0.5000 0.5000 0.6689  4 Nd 2.95, 8 Pd 2.96-2.99
Pd 0.5000 0.0000 0.1596  2 Tm 2.88, 8 Pd 2.88-2.99, 2 Nd 2.97
Pd 0.5000 0.0000 0.5000  8 Pd 2.95-2.96, 4 Nd 2.98
Pd 0.5000 0.0000 0.8404  8 Pd 2.88-2.99, 2 Tm 2.88, 2 Nd 2.97
Pd 0.0000 0.5000 0.1596  2 Tm 2.88, 8 Pd 2.88-2.99, 2 Nd 2.97
Pd 0.0000 0.5000 0.5000  8 Pd 2.95-2.96, 4 Nd 2.98
Pd 0.0000 0.5000 0.8404  2 Tm 2.88, 8 Pd 2.88-2.99, 2 Nd 2.97

# 3
Crystalline NdTm5Pd4 at its relaxed geometry. Source: Alexandria, functional PBE.

ΔH_f (0 K) ... -742 meV/atom
Symmetry ... P4/mmm (123)
Electronic total energy ... -5.531 eV per atom

Unit cell a=3.4833 b=3.4833 c=19.0877 alpha=90.00 beta=90.00 gamma=90.00
Closest atoms and distances in Å follow each position.
Atoms (fractional coordinates):
Nd 0.0000 0.0000 0.0000  4 Nd 3.48, 8 Tm 3.65
Tm 0.5000 0.5000 0.1411  4 Pd 2.96
Tm 0.5000 0.5000 0.3191  8 Pd 3.00-3.02
Tm 0.5000 0.5000 0.5000  8 Pd 3.02
Tm 0.5000 0.5000 0.6809  8 Pd 3.00-3.02
Tm 0.5000 0.5000 0.8589  4 Pd 2.96
Pd 0.0000 0.0000 0.2275  8 Tm 2.96-3.02
Pd 0.0000 0.0000 0.4089  8 Tm 3.00-3.02
Pd 0.0000 0.0000 0.5911  8 Tm 3.00-3.02
Pd 0.0000 0.0000 0.7725  8 Tm 2.96-3.02

# 4
Crystalline NdTmPd4 at its relaxed geometry. Source: Alexandria, functional PBE.

ΔH_f (0 K) ... -793 meV/atom
Symmetry ... F-43m (216)
Electronic total energy ... -5.794 eV per atom

Unit cell a=5.4719 b=5.4719 c=5.4719 alpha=60.00 beta=60.00 gamma=60.00
Closest atoms and distances in Å follow each position.
Atoms (fractional coordinates):
Tm 0.0000 0.0000 0.0000  12 Pd 3.21, 4 Nd 3.35
Nd 0.2500 0.2500 0.2500  12 Pd 3.21, 4 Tm 3.35
Pd 0.6255 0.6255 0.1236  6 Pd 2.73-2.75
Pd 0.6255 0.1236 0.6255  6 Pd 2.73-2.75
Pd 0.6255 0.6255 0.6255  6 Pd 2.73-2.75
Pd 0.1236 0.6255 0.6255  6 Pd 2.73-2.75

# 5
Crystalline NdTmPd4 at its relaxed geometry. Source: Alexandria, functional PBE.

ΔH_f (0 K) ... -870 meV/atom
Symmetry ... Cmcm (63)
Electronic total energy ... -5.871 eV per atom

Unit cell a=4.2103 b=5.7613 c=10.0850 alpha=90.00 beta=102.05 gamma=90.00
Closest atoms and distances in Å follow each position.
Atoms (fractional coordinates):
Nd 0.7223 0.2500 0.4445  7 Pd 2.97-3.02
Nd 0.2777 0.7500 0.5555  7 Pd 2.97-3.02
Tm 0.4252 0.2500 0.8503  11 Pd 2.88-2.95
Tm 0.5748 0.7500 0.1497  11 Pd 2.88-2.95
Pd 0.0000 0.0000 0.0000  8 Pd 2.84-2.91, 4 Tm 2.95
Pd 0.0000 0.5000 0.0000  8 Pd 2.84-2.91, 4 Tm 2.95
Pd 0.1441 0.0055 0.2882  5 Pd 2.82-2.94, 2 Tm 2.91, 3 Nd 2.97-3.02
Pd 0.8559 0.5055 0.7118  5 Pd 2.82-2.94, 2 Tm 2.91, 3 Nd 2.97-3.02
Pd 0.1441 0.4945 0.2882  5 Pd 2.82-2.94, 2 Tm 2.91, 3 Nd 2.97-3.02
Pd 0.8559 0.9945 0.7118  5 Pd 2.82-2.94, 2 Tm 2.91, 3 Nd 2.97-3.02
Pd 0.5713 0.2500 0.1425  3 Tm 2.88, 8 Pd 2.91, 1 Nd 2.98
Pd 0.4287 0.7500 0.8575  3 Tm 2.88, 8 Pd 2.91, 1 Nd 2.98

# 6
Crystalline NdTm3Pd at its relaxed geometry. Source: Alexandria, functional PBE.

ΔH_f (0 K) ... -199 meV/atom
Symmetry ... Pm-3m (221)
Electronic total energy ... -4.874 eV per atom

Unit cell a=5.4097 b=5.4097 c=5.4097 alpha=90.00 beta=90.00 gamma=90.00
Closest atoms and distances in Å follow each position.
Atoms (fractional coordinates):
Tm 0.0000 0.5000 0.0000  2 Pd 2.70
Tm 0.0000 0.0000 0.5000  2 Pd 2.70
Tm 0.5000 0.0000 0.0000  2 Pd 2.70
Nd 0.5000 0.5000 0.5000  12 Tm 3.83
Pd 0.0000 0.0000 0.0000  6 Tm 2.70

# 7
Crystalline Nd2TmPd2 at its relaxed geometry. Source: Alexandria, functional PBE.

ΔH_f (0 K) ... -671 meV/atom
Symmetry ... P4/mbm (127)
Electronic total energy ... -5.549 eV per atom

Unit cell a=4.1012 b=7.8766 c=7.8766 alpha=90.00 beta=90.00 gamma=90.00
Closest atoms and distances in Å follow each position.
Atoms (fractional coordinates):
Nd 0.5000 0.1695 0.6695  6 Pd 3.02-3.15
Nd 0.5000 0.6695 0.8305  6 Pd 3.02-3.15
Nd 0.5000 0.8305 0.3305  6 Pd 3.02-3.15
Nd 0.5000 0.3305 0.1695  6 Pd 3.02-3.15
Tm 0.0000 0.0000 0.0000  4 Pd 3.08
Tm 0.0000 0.5000 0.5000  4 Pd 3.08
Pd 0.0000 0.3691 0.8691  1 Pd 2.92, 6 Nd 3.02-3.15, 2 Tm 3.08
Pd 0.0000 0.8691 0.6309  1 Pd 2.92, 6 Nd 3.02-3.15, 2 Tm 3.08
Pd 0.0000 0.6309 0.1309  1 Pd 2.92, 6 Nd 3.02-3.15, 2 Tm 3.08
Pd 0.0000 0.1309 0.3691  1 Pd 2.92, 6 Nd 3.02-3.15, 2 Tm 3.08

# 8
Crystalline NdTmPd2 at its relaxed geometry. Source: Alexandria, functional PBE.

ΔH_f (0 K) ... -867 meV/atom
Symmetry ... Amm2 (38)
Electronic total energy ... -5.773 eV per atom

Unit cell a=3.7897 b=4.5862 c=5.6528 alpha=90.00 beta=109.62 gamma=90.00
Closest atoms and distances in Å follow each position.
Atoms (fractional coordinates):
Nd 0.7216 0.0000 0.9825  7 Pd 2.91-3.07
Tm 0.4477 0.5000 0.4340  7 Pd 2.99-3.02
Pd 0.1666 0.5000 0.8721  2 Pd 2.93, 3 Tm 2.99-3.01, 4 Nd 3.03
Pd 0.9951 0.0000 0.5294  3 Nd 2.91-3.07, 2 Pd 2.93, 4 Tm 3.02